8
Lattice="-3.7136 4.1649 -0.8853 -3.7415 -0.3998 -4.2145 -5.4732 -0.8039 1.1482" Properties=species:S:1:pos:R:3 comment="Li2ZrO (PBEsol, optimized geometry)" energy_ev_per_cell=-39.93 sg=Fd-3m pbc="T T T"
O 0.0000 0.0000 0.0000
O -3.2321 0.7403 -0.9879
Li -4.3527 -0.0318 0.0801
Li -3.4868 0.1703 -2.6012
Li -3.4728 2.4526 -0.9366
Li -1.6160 0.3702 -0.4940
Zr -9.6962 2.2209 -2.9637
Zr -6.4642 1.4806 -1.9758

3
Lattice="4.2277 0.0000 0.0000 2.1139 3.6613 0.0000 2.1139 1.2204 3.4519" Properties=species:S:1:pos:R:3 comment="CrAsSe (PBEsol, optimized geometry)" energy_ev_per_cell=-19.25 sg=F-43m pbc="T T T"
As 4.2277 2.4409 1.7260
Se 0.0000 0.0000 0.0000
Cr 2.1139 1.2204 0.8630

5
Lattice="-3.0038 3.1146 -1.0567 -1.1416 -4.3051 -0.0561 -1.5830 0.3478 5.5249" Properties=species:S:1:pos:R:3 comment="Tc2Sb3 (PBEsol, optimized geometry)" energy_ev_per_cell=-35.41 sg=P-3m1 pbc="T T T"
Sb -3.4155 0.8682 2.8799
Sb -2.3130 -1.7109 1.5321
Sb 0.0000 0.0000 0.0000
Tc -3.0936 -1.5394 4.2565
Tc -2.6349 0.6967 0.1556

4
Lattice="-2.1472 -0.4414 -4.0627 -3.9542 -2.3662 -0.2758 -3.9723 2.2241 -0.7650" Properties=species:S:1:pos:R:3 comment="BeCd2Si (PBEsol, optimized geometry)" energy_ev_per_cell=-9.76 sg=Fm-3m pbc="T T T"
Be 0.0000 0.0000 0.0000
Cd -7.5552 -0.4376 -3.8276
Cd -2.5184 -0.1459 -1.2759
Si -5.0368 -0.2918 -2.5517

6
Lattice="3.7333 0.0000 0.0000 0.0000 3.7333 0.0000 0.0000 0.0000 6.0497" Properties=species:S:1:pos:R:3 comment="LiFeAs (PBEsol, optimized geometry)" formation_enthalpy_0k_mev_per_atom=-471 energy_ev_per_cell=-34.90 sg=P4/nmm pbc="T T T"
As 1.8667 0.0000 1.6703
As 0.0000 1.8667 4.3794
Li 0.0000 1.8667 1.0025
Li 1.8667 0.0000 5.0472
Fe 1.8667 1.8667 3.0248
Fe 0.0000 0.0000 3.0248

4
Lattice="3.9761 0.0000 0.0000 0.0000 3.9761 0.0000 0.0000 0.0000 5.6154" Properties=species:S:1:pos:R:3 comment="Sc2SbSe (PBEsol, optimized geometry)" energy_ev_per_cell=-26.82 sg=P4/mmm pbc="T T T"
Sb 1.9880 1.9880 4.9149
Sc 1.9880 1.9880 2.1073
Sc 0.0000 0.0000 4.9109
Se 0.0000 0.0000 2.1053

10
Lattice="7.9949 0.0000 0.0000 3.9975 6.9238 0.0000 3.9975 2.3079 6.5278" Properties=species:S:1:pos:R:3 comment="RbInBr3 (PBEsol, optimized geometry)" energy_ev_per_cell=-30.65 sg=Fm-3m pbc="T T T"
Rb 11.9924 6.9238 4.8959
Rb 3.9975 2.3079 1.6320
Br 10.0865 5.8234 1.5562
Br 5.9034 3.4083 4.9717
Br 7.9949 2.2008 1.5562
Br 5.9034 5.8234 1.5562
Br 10.0865 3.4083 4.9717
Br 7.9949 7.0310 4.9717
In 0.0000 0.0000 0.0000
In 7.9949 4.6159 3.2639

5
Lattice="4.0328 0.0000 0.0000 0.0000 4.0328 0.0000 0.0000 0.0000 4.0328" Properties=species:S:1:pos:R:3 comment="SiMo3O (PBEsol, optimized geometry)" energy_ev_per_cell=-47.82 sg=Pm-3m pbc="T T T"
Si 2.0164 2.0164 2.0164
Mo 0.0000 0.0000 2.0164
Mo 0.0000 2.0164 0.0000
Mo 2.0164 0.0000 0.0000
O 0.0000 0.0000 0.0000

Calculated values (μB/f.u.) of total magnetization for the records, taken in order: 2.423, 2.319, 0.000, 0.000, 0.211, 0.000, 0.000, 0.000.